(1)
Compound: Tl2MoPt
Source: Alexandria
Functional: PBE-GGA
Structure: relaxed

Unit cell a=3.4511 b=5.1193 c=4.5385 alpha=90.00 beta=90.00 gamma=90.00
Fractional positions:
Mo 0.5000 0.0000 0.5000
Pt 0.0000 0.5000 0.5000
Tl 0.0000 0.0000 0.0000
Tl 0.5000 0.5000 0.0000

## Properties
formation energy from the elements = 0.595 eV/atom
energy relative to the lowest polymorph listed for this composition = 1.35 eV per formula unit
crystal system = orthorhombic

(2)
Compound: Tl2MoPt
Source: Alexandria
Functional: PBE-GGA
Structure: relaxed

Unit cell a=7.6592 b=7.6592 c=6.1756 alpha=51.68 beta=51.68 gamma=90.00
Fractional positions:
Tl 0.6370 0.1250 0.2500
Tl 0.1130 0.6250 0.2500
Tl 0.3750 0.3630 0.7500
Tl 0.8750 0.8870 0.7500
Mo 0.5000 0.5000 0.0000
Mo 0.2500 0.7500 0.5000
Pt 0.0000 0.0000 0.0000
Pt 0.7500 0.2500 0.5000

## Properties
formation energy from the elements = 0.739 eV/atom
energy relative to the lowest polymorph listed for this composition = 1.93 eV per formula unit
crystal system = tetragonal

(3)
Compound: Tl2MoPt
Source: Alexandria
Functional: PBE-GGA
Structure: relaxed

Unit cell a=4.8042 b=4.8042 c=4.8042 alpha=60.00 beta=60.00 gamma=60.00
Fractional positions:
Tl 0.2500 0.2500 0.2500
Tl 0.7500 0.7500 0.7500
Mo 0.0000 0.0000 0.0000
Pt 0.5000 0.5000 0.5000

## Properties
formation energy from the elements = 0.620 eV/atom
energy relative to the lowest polymorph listed for this composition = 1.45 eV per formula unit
crystal system = cubic

(4)
Compound: Tl2MoPt
Source: Alexandria
Functional: PBE-GGA
Structure: relaxed

Unit cell a=4.8801 b=4.8801 c=4.8801 alpha=60.00 beta=60.00 gamma=60.00
Fractional positions:
Mo 0.5000 0.5000 0.5000
Pt 0.2500 0.2500 0.2500
Tl 0.0000 0.0000 0.0000
Tl 0.7500 0.7500 0.7500

## Properties
formation energy from the elements = 0.657 eV/atom
energy relative to the lowest polymorph listed for this composition = 1.60 eV per formula unit
crystal system = cubic

(5)
Compound: TlMoPt2
Source: Alexandria
Functional: PBE-GGA
Structure: relaxed

Unit cell a=2.9415 b=2.9415 c=8.0328 alpha=90.00 beta=90.00 gamma=90.02
Fractional positions:
Mo 0.5000 0.5000 0.7742
Pt 0.0000 0.0000 0.9865
Pt 0.5000 0.5000 0.2388
Tl 0.0000 0.0000 0.5005

## Properties
formation energy from the elements = 0.142 eV/atom
energy relative to the lowest polymorph listed for this composition = 0.77 eV per formula unit
crystal system = tetragonal

(6)
Compound: Tl2MoPt
Source: Alexandria
Functional: PBE-GGA
Structure: relaxed

Unit cell a=9.3576 b=9.3576 c=9.3576 alpha=19.31 beta=19.31 gamma=19.31
Fractional positions:
Mo 0.2500 0.2500 0.2500
Pt 0.7500 0.7500 0.7500
Tl 0.0016 0.0016 0.0016
Tl 0.4984 0.4984 0.4984

## Properties
formation energy from the elements = 0.529 eV/atom
energy relative to the lowest polymorph listed for this composition = 1.09 eV per formula unit
crystal system = trigonal

(7)
Compound: TlMoPt2
Source: Alexandria
Functional: PBE-GGA
Structure: relaxed

Unit cell a=4.9826 b=4.9826 c=2.8312 alpha=90.00 beta=90.00 gamma=90.00
Fractional positions:
Mo 0.0000 0.5000 0.5000
Pt 0.0000 0.0000 0.0000
Pt 0.5000 0.5000 0.0000
Tl 0.5000 0.0000 0.5000

## Properties
formation energy from the elements = 0.201 eV/atom
energy relative to the lowest polymorph listed for this composition = 1.00 eV per formula unit
crystal system = tetragonal

(8)
Compound: Tl4MoPt
Source: Alexandria
Functional: PBE-GGA
Structure: relaxed

Unit cell a=6.1025 b=6.1025 c=6.1025 alpha=60.00 beta=60.00 gamma=60.00
Fractional positions:
Tl 0.8761 0.3746 0.3746
Tl 0.3746 0.3746 0.8761
Tl 0.3746 0.8761 0.3746
Tl 0.3746 0.3746 0.3746
Mo 0.7500 0.7500 0.7500
Pt 0.0000 0.0000 0.0000

## Properties
formation energy from the elements = 1.049 eV/atom
crystal system = cubic

Q: What is the formula in the third record?
A: Tl2MoPt

Q: formation energy from the elements of number 8 (Tl4MoPt)?
A: 1.049 eV/atom

Q: Which of these has the highest formation energy from the elements?
A: Tl4MoPt